A plane-wave DFT calculation with PBE was carried out for a relaxed structure of TaSnGePt2.

Cell: 4.876 4.876 5.185 Å, 90.00 90.00 90.00°
Fractional coordinates of all 5 atoms:
Ta 0.000 0.000 0.000
Sn 0.000 0.000 0.500
Ge 0.500 0.500 0.000
Pt 0.000 0.500 0.500
Pt 0.500 0.000 0.500

Total magnetic moment   0.00 μB/cell
Total DFT energy (no corrections)   -5.257 eV/atom
Crystal system   tetragonal
ΔH_f (0 K)   1254 meV/atom
V   24.66 Å³/atom
Space-group type   P4/mmm